{
  "formula": "BaNd4Mn3O12",
  "functional": "PBE+U",
  "state": "optimized geometry",
  "space_group": "Im-3, No. 204",
  "total_energy_ev_per_atom": -7.572,
  "n_ef_per_ev_atom": 0.70,
  "lattice_angstrom": [[-4.248, 4.248, 4.248], [4.248, -4.248, 4.248], [4.248, 4.248, -4.248]],
  "species": ["Ba", "Nd", "Nd", "Nd", "Nd", "Mn", "Mn", "Mn", "O", "O", "O", "O", "O", "O", "O", "O", "O", "O", "O", "O"],
  "frac_coords": [[0.000, 0.000, 0.000], [0.000, 0.000, 0.500], [0.000, 0.500, 0.000], [0.500, 0.000, 0.000], [0.500, 0.500, 0.500], [0.000, 0.500, 0.500], [0.500, 0.000, 0.500], [0.500, 0.500, 0.000], [0.152, 0.482, 0.329], [0.152, 0.823, 0.671], [0.177, 0.329, 0.848], [0.329, 0.152, 0.482], [0.329, 0.848, 0.177], [0.482, 0.329, 0.152], [0.518, 0.671, 0.848], [0.671, 0.152, 0.823], [0.671, 0.848, 0.518], [0.823, 0.671, 0.152], [0.848, 0.177, 0.329], [0.848, 0.518, 0.671]]
}